Record 1
Below is an optimized crystal structure of Pm6SiN2Cl3, with properties calculated at the GGA-PBE level.

Properties
SG   C2/m
Spin magnetization   0.0 μB per formula unit
E_tot   -6.0652 eV per atom
Fermi-level density of states   0.35 states/eV/atom

Unit cell a=3.837 b=8.306 c=9.229 alpha=109.11 beta=102.00 gamma=90.00
Element x y z (fractional)
Pm1 0.334 0.865 0.669
Pm2 0.683 0.551 0.367
Pm3 0.666 0.135 0.331
Pm4 0.027 0.254 0.054
Pm5 0.973 0.746 0.946
Pm6 0.317 0.449 0.633
Si1 0.500 0.000 0.000
N1 0.827 0.658 0.654
N2 0.173 0.342 0.346
Cl1 0.500 0.500 0.000
Cl2 0.836 0.174 0.672
Cl3 0.164 0.826 0.328

Record 2
Below is an optimized crystal structure of EuScCuAu, with properties calculated at the GGA-PBE level.

Properties
Calculated formation energy   -1.48 eV per formula unit
SG   F-43m
Spin magnetization   7.0 μB per formula unit
E_tot   -6.3645 eV per atom
Fermi-level density of states   1.90 states/eV/atom

Unit cell a=4.976 b=4.976 c=4.976 alpha=60.00 beta=60.00 gamma=60.00
Each line ends with the local moment (μB).
Element x y z (fractional)
Eu1 0.000 0.000 0.000  6.74
Sc1 0.500 0.500 0.500  0.02
Au1 0.750 0.750 0.750  0.01
Cu1 0.250 0.250 0.250  0.00

Record 3
Below is an optimized crystal structure of MoPtRh2, with properties calculated at the GGA-PBE level.

Properties
Calculated formation energy   -0.53 eV per formula unit
SG   R-3m
Energy above the lowest structure with this stoichiometry   0.1227 eV/atom
Spin magnetization   0.0 μB per formula unit
E_tot   -8.0273 eV per atom
Fermi-level density of states   1.41 states/eV/atom

Unit cell a=9.153 b=9.153 c=9.153 alpha=17.40 beta=17.40 gamma=17.40
Element x y z (fractional)
Mo1 0.250 0.250 0.250
Pt1 0.750 0.750 0.750
Rh1 0.997 0.997 0.997
Rh2 0.503 0.503 0.503

Record 4
Below is an optimized crystal structure of K3In2Pb7, with properties calculated at the GGA-PBE level.

Properties
Calculated formation energy   -1.51 eV per formula unit
SG   R-3m
Spin magnetization   0.0 μB per formula unit
E_tot   -3.0196 eV per atom
Fermi-level density of states   0.44 states/eV/atom

Unit cell a=6.902 b=6.902 c=11.040 alpha=71.79 beta=71.79 gamma=60.00
Element x y z (fractional)
K1 0.000 0.000 0.000
K2 0.859 0.859 0.422
K3 0.141 0.141 0.578
In1 0.663 0.663 0.010
In2 0.337 0.337 0.990
Pb1 0.500 0.500 0.500
Pb2 0.925 0.416 0.244
Pb3 0.416 0.925 0.244
Pb4 0.416 0.416 0.244
Pb5 0.075 0.584 0.756
Pb6 0.584 0.584 0.756
Pb7 0.584 0.075 0.756

Record 5
Below is an optimized crystal structure of CsTaGe2I, with properties calculated at the GGA-PBE level.

Properties
SG   P4/mmm
Spin magnetization   1.2 μB per formula unit
E_tot   -3.3378 eV per atom
Fermi-level density of states   1.16 states/eV/atom

Unit cell a=5.848 b=5.204 c=5.848 alpha=90.00 beta=90.00 gamma=90.00
Each line ends with the local moment (μB).
Element x y z (fractional)
Cs1 0.500 0.500 0.500  0.00
I1 0.000 0.000 0.000  -0.02
Ge1 0.000 0.000 0.500  -0.09
Ge2 0.500 0.000 0.000  -0.11
Ta1 0.000 0.500 0.000  1.10

Record 6
Below is an optimized crystal structure of NaCu4Pb, with properties calculated at the GGA-PBE level.

Properties
Calculated formation energy   0.43 eV per formula unit
SG   F-43m
Spin magnetization   0.0 μB per formula unit
E_tot   -3.4972 eV per atom
Fermi-level density of states   0.43 states/eV/atom

Unit cell a=5.144 b=5.144 c=5.144 alpha=60.00 beta=60.00 gamma=60.00
Element x y z (fractional)
Pb1 0.250 0.250 0.250
Na1 0.000 0.000 0.000
Cu1 0.626 0.626 0.123
Cu2 0.626 0.123 0.626
Cu3 0.626 0.626 0.626
Cu4 0.123 0.626 0.626

Record 7
Below is an optimized crystal structure of Ac2Pm5PrY, with properties calculated at the GGA-PBE level.

Properties
Calculated formation energy   1.21 eV per formula unit
SG   Cmc2_1
Spin magnetization   0.0 μB per formula unit
E_tot   -4.6669 eV per atom
Fermi-level density of states   1.41 states/eV/atom

Unit cell a=5.871 b=10.704 c=11.038 alpha=90.00 beta=90.00 gamma=105.92
Element x y z (fractional)
Ac1 0.883 0.766 0.819
Ac2 0.114 0.228 0.730
Ac3 0.117 0.234 0.319
Ac4 0.886 0.772 0.230
Pm1 0.389 0.778 0.020
Pm2 0.718 0.435 0.811
Pm3 0.482 0.965 0.741
Pm4 0.296 0.593 0.705
Pm5 0.981 0.962 0.523
Pm6 0.611 0.222 0.520
Pm7 0.282 0.565 0.311
Pm8 0.518 0.035 0.241
Pm9 0.704 0.407 0.205
Pm10 0.019 0.038 0.023
Pr1 0.589 0.177 0.964
Pr2 0.411 0.823 0.464
Y1 0.793 0.586 0.510
Y2 0.207 0.414 0.010

Record 8
Below is an optimized crystal structure of Ba2GaPPt6, with properties calculated at the GGA-PBE level.

Properties
Calculated formation energy   -7.60 eV per formula unit
SG   P-1
Spin magnetization   0.0 μB per formula unit
E_tot   -5.6124 eV per atom
Fermi-level density of states   0.59 states/eV/atom

Unit cell a=6.598 b=6.890 c=6.919 alpha=56.94 beta=61.39 gamma=89.93
Element x y z (fractional)
Ba1 0.710 0.290 0.579
Ba2 0.290 0.710 0.421
Ga1 0.000 0.000 0.000
P1 0.500 0.500 0.000
Pt1 0.255 0.161 0.489
Pt2 0.839 0.745 0.905
Pt3 0.255 0.743 0.905
Pt4 0.745 0.257 0.095
Pt5 0.161 0.255 0.095
Pt6 0.745 0.839 0.511

Record 9
Below is an optimized crystal structure of Nd4CdGa2Ag, with properties calculated at the GGA-PBE level.

Properties
Calculated formation energy   -3.32 eV per formula unit
SG   R-3m
Spin magnetization   0.0 μB per formula unit
E_tot   -4.0261 eV per atom
Fermi-level density of states   1.21 states/eV/atom

Unit cell a=5.311 b=5.311 c=9.223 alpha=73.27 beta=73.27 gamma=60.00
Element x y z (fractional)
Nd1 0.377 0.377 0.868
Nd2 0.873 0.873 0.382
Nd3 0.127 0.127 0.618
Nd4 0.623 0.623 0.132
Cd1 0.000 0.000 0.000
Ga1 0.748 0.748 0.757
Ga2 0.252 0.252 0.243
Ag1 0.500 0.500 0.500

Record 10
Below is an optimized crystal structure of NpHPb, with properties calculated at the GGA-PBE level.

Properties
SG   C2/m
Energy above the lowest structure with this stoichiometry   0.1140 eV/atom
Spin magnetization   0.0 μB per formula unit
E_tot   -6.5123 eV per atom
Fermi-level density of states   1.28 states/eV/atom

Unit cell a=3.445 b=6.177 c=5.661 alpha=107.54 beta=90.00 gamma=106.19
Element x y z (fractional)
Np1 0.683 0.367 0.895
Np2 0.317 0.633 0.105
Pb1 0.923 0.845 0.695
Pb2 0.077 0.155 0.305
H1 0.758 0.517 0.285
H2 0.242 0.483 0.715